Entry 1:
First-principles (PBE) data for TbTm2Sn3Ir2Pd after structural relaxation, as listed in the Open Quantum Materials Database.

a b c (Å): 3.814 7.606 7.606
angles (deg): 120.17 90.00 90.00
Atoms (fractional coordinates):
Tb 0.000 0.000 0.000
Tm 0.000 0.405 0.811
Tm 0.000 0.811 0.405
Sn 0.500 0.139 0.407
Sn 0.500 0.407 0.139
Sn 0.500 0.673 0.673
Ir 0.500 0.073 0.736
Ir 0.500 0.736 0.073
Pd 0.000 0.408 0.408

Space group   Amm2 (38)
Uncorrected energy   -6.25 eV/atom

=====

Entry 2:
First-principles (PBE) data for Tm3Sn3Ir2Pd after structural relaxation, as listed in the Open Quantum Materials Database.

a b c (Å): 7.599 7.599 3.767
angles (deg): 90.00 90.00 120.00
Atoms (fractional coordinates):
Tm 0.000 0.595 0.000
Tm 0.405 0.405 0.000
Tm 0.595 0.000 0.000
Sn 0.000 0.268 0.500
Sn 0.268 0.000 0.500
Sn 0.732 0.732 0.500
Ir 0.333 0.667 0.500
Ir 0.667 0.333 0.500
Pd 0.000 0.000 0.000

Space group   P-62m (189)
Uncorrected energy   -6.24 eV/atom

=====

Entry 3:
First-principles (PBE) data for Tm3Sn3IrPd2 after structural relaxation, as listed in the Open Quantum Materials Database.

a b c (Å): 7.578 7.578 3.839
angles (deg): 90.00 90.00 120.00
Atoms (fractional coordinates):
Tm 0.000 0.603 0.000
Tm 0.397 0.397 0.000
Tm 0.603 0.000 0.000
Sn 0.000 0.263 0.500
Sn 0.263 0.000 0.500
Sn 0.737 0.737 0.500
Ir 0.000 0.000 0.000
Pd 0.333 0.667 0.500
Pd 0.667 0.333 0.500

Space group   P-62m (189)
Uncorrected energy   -5.87 eV/atom

=====

Entry 4:
First-principles (PBE) data for YTm2Sn3IrPd2 after structural relaxation, as listed in the Open Quantum Materials Database.

a b c (Å): 3.826 7.627 7.627
angles (deg): 120.13 90.00 90.00
Atoms (fractional coordinates):
Y 0.000 0.000 0.000
Tm 0.000 0.202 0.601
Tm 0.000 0.601 0.202
Sn 0.500 0.338 0.338
Sn 0.500 0.600 0.862
Sn 0.500 0.862 0.600
Ir 0.000 0.598 0.598
Pd 0.500 0.271 0.933
Pd 0.500 0.933 0.271

Space group   Amm2 (38)
Uncorrected energy   -6.10 eV/atom

=====

Entry 5:
First-principles (PBE) data for Y3Sn3IrPd2 after structural relaxation, as listed in the Open Quantum Materials Database.

a b c (Å): 7.594 7.594 3.928
angles (deg): 90.00 90.00 120.00
Atoms (fractional coordinates):
Y 0.000 0.598 0.000
Y 0.402 0.402 0.000
Y 0.598 0.000 0.000
Sn 0.000 0.258 0.500
Sn 0.258 0.000 0.500
Sn 0.742 0.742 0.500
Ir 0.000 0.000 0.000
Pd 0.333 0.667 0.500
Pd 0.667 0.333 0.500

Space group   P-62m (189)
Uncorrected energy   -6.55 eV/atom

=====

Entry 6:
First-principles (PBE) data for Y3Sn3Ir2Pd after structural relaxation, as listed in the Open Quantum Materials Database.

a b c (Å): 7.611 7.611 3.854
angles (deg): 90.00 90.00 120.00
Atoms (fractional coordinates):
Y 0.000 0.593 0.000
Y 0.407 0.407 0.000
Y 0.593 0.000 0.000
Sn 0.000 0.266 0.500
Sn 0.266 0.000 0.500
Sn 0.734 0.734 0.500
Ir 0.333 0.667 0.500
Ir 0.667 0.333 0.500
Pd 0.000 0.000 0.000

Space group   P-62m (189)
Uncorrected energy   -6.90 eV/atom

=====

Entry 7:
First-principles (PBE) data for Sr2IrPd after structural relaxation, as listed in the Open Quantum Materials Database.

a b c (Å): 5.051 5.051 5.051
angles (deg): 60.00 60.00 60.00
Atoms (fractional coordinates):
Sr 0.000 0.000 0.000
Sr 0.250 0.250 0.250
Ir 0.750 0.750 0.750
Pd 0.500 0.500 0.500

Space group   F-43m (216)
Uncorrected energy   -4.27 eV/atom

=====

Entry 8:
First-principles (PBE) data for Sr2IrPd after structural relaxation, as listed in the Open Quantum Materials Database.

a b c (Å): 4.594 5.768 5.768
angles (deg): 46.85 90.00 90.00
Atoms (fractional coordinates):
Sr 0.000 0.000 0.000
Sr 0.500 0.286 0.286
Ir 0.000 0.692 0.692
Pd 0.500 0.592 0.592

Space group   Amm2 (38)
Uncorrected energy   -4.65 eV/atom

=====

Entry 9:
First-principles (PBE) data for SrIrPd2 after structural relaxation, as listed in the Open Quantum Materials Database.

a b c (Å): 4.724 4.724 4.724
angles (deg): 60.00 60.00 60.00
Atoms (fractional coordinates):
Sr 0.000 0.000 0.000
Ir 0.250 0.250 0.250
Pd 0.500 0.500 0.500
Pd 0.750 0.750 0.750

Space group   F-43m (216)
Uncorrected energy   -5.03 eV/atom

=====

Entry 10:
First-principles (PBE) data for Sr2Tl4IrPd after structural relaxation, as listed in the Open Quantum Materials Database.

a b c (Å): 8.494 6.001 6.001
angles (deg): 43.09 90.00 90.00
Atoms (fractional coordinates):
Sr 0.000 0.000 0.000
Sr 0.500 0.132 0.132
Tl 0.197 0.714 0.714
Tl 0.298 0.420 0.420
Tl 0.702 0.420 0.420
Tl 0.803 0.714 0.714
Ir 0.000 0.286 0.286
Pd 0.500 0.848 0.848

Space group   Amm2 (38)
Uncorrected energy   -3.65 eV/atom

=====

Entry 11:
First-principles (PBE) data for TaIrPd after structural relaxation, as listed in the Open Quantum Materials Database.

a b c (Å): 4.311 4.311 4.311
angles (deg): 60.00 60.00 60.00
Atoms (fractional coordinates):
Ta 0.000 0.000 0.000
Ir 0.750 0.750 0.750
Pd 0.500 0.500 0.500

E above lowest polymorph   44.2 kJ/mol of formula units
Space group   F-43m (216)

=====

Entry 12:
First-principles (PBE) data for TaIrPd after structural relaxation, as listed in the Open Quantum Materials Database.

a b c (Å): 4.289 4.289 4.289
angles (deg): 60.00 60.00 60.00
Atoms (fractional coordinates):
Ta 0.000 0.000 0.000
Ir 0.750 0.750 0.750
Pd 0.250 0.250 0.250

E above lowest polymorph   0.0 kJ/mol of formula units
Space group   F-43m (216)

=====

Entry 13:
First-principles (PBE) data for TbIrPd after structural relaxation, as listed in the Open Quantum Materials Database.

a b c (Å): 4.533 4.533 4.533
angles (deg): 60.00 60.00 60.00
Atoms (fractional coordinates):
Tb 0.000 0.000 0.000
Ir 0.250 0.250 0.250
Pd 0.500 0.500 0.500

E above lowest polymorph   0.0 kJ/mol of formula units
Space group   F-43m (216)

=====

Entry 14:
First-principles (PBE) data for TcIr2Pd after structural relaxation, as listed in the Open Quantum Materials Database.

a b c (Å): 4.397 4.397 4.397
angles (deg): 60.00 60.00 60.00
Atoms (fractional coordinates):
Tc 0.000 0.000 0.000
Ir 0.500 0.500 0.500
Ir 0.750 0.750 0.750
Pd 0.250 0.250 0.250

Space group   F-43m (216)
Uncorrected energy   -7.90 eV/atom